Entry 1:
An optimized crystal structure of TaNbO3, computed with PBE.

Computed properties:
Volume ... 12.62 A^3/atom
Energy ... -8.826 eV/atom
Raw formation energy ... -1467 meV/atom

Cell and atoms, written as CIF:
```
data_TaNbO3
_cell_length_a 3.981
_cell_length_b 3.981
_cell_length_c 3.981
_cell_angle_alpha 90.00
_cell_angle_beta 90.00
_cell_angle_gamma 90.00
_symmetry_space_group_name_H-M 'P m -3 m'
_symmetry_Int_Tables_number 221
_symmetry_space_group_name_Hall '-P 4 2 3'
loop_
_atom_site_label
_atom_site_type_symbol
_atom_site_fract_x
_atom_site_fract_y
_atom_site_fract_z
_atom_site_occupancy
Ta1 Ta 0.000 0.000 0.000 1
Nb1 Nb 0.500 0.500 0.500 1
O1 O 0.000 0.000 0.500 1
```


Entry 2:
An optimized crystal structure of AcBiSb2, computed with PBE.

Computed properties:
Volume ... 32.17 A^3/atom
Energy ... -4.442 eV/atom
Raw formation energy ... -384 meV/atom
E above lowest polymorph ... 183 meV/atom

Cell and atoms, written as CIF:
```
data_AcBiSb2
_cell_length_a 8.014
_cell_length_b 8.014
_cell_length_c 8.014
_cell_angle_alpha 90.00
_cell_angle_beta 90.00
_cell_angle_gamma 90.00
_symmetry_space_group_name_H-M 'F m -3 m'
_symmetry_Int_Tables_number 225
_symmetry_space_group_name_Hall '-F 4 2 3'
loop_
_atom_site_label
_atom_site_type_symbol
_atom_site_fract_x
_atom_site_fract_y
_atom_site_fract_z
_atom_site_occupancy
Ac1 Ac 0.000 0.000 0.000 1
Bi1 Bi 0.000 0.000 0.500 1
Sb1 Sb 0.250 0.250 0.250 1
```


Entry 3:
An optimized crystal structure of CaOsW, computed with PBE.

Computed properties:
Volume ... 20.19 A^3/atom
Formation enthalpy at 0 K ... 0.4296 eV per atom
Energy ... -8.299 eV/atom
E above lowest polymorph ... 0 meV/atom

Cell and atoms, written as CIF:
```
data_CaOsW
_cell_length_a 3.174
_cell_length_b 3.174
_cell_length_c 12.027
_cell_angle_alpha 90.00
_cell_angle_beta 90.00
_cell_angle_gamma 90.00
_symmetry_space_group_name_H-M 'I 4 m m'
_symmetry_Int_Tables_number 107
_symmetry_space_group_name_Hall 'I 4 -2'
loop_
_atom_site_label
_atom_site_type_symbol
_atom_site_fract_x
_atom_site_fract_y
_atom_site_fract_z
_atom_site_occupancy
Ca1 Ca 0.000 0.000 0.000 1
Os1 Os 0.000 0.000 0.690 1
W1 W 0.000 0.000 0.294 1
```


Entry 4:
An optimized crystal structure of Tl5HgSe4, computed with PBE.

Computed properties:
Volume ... 36.44 A^3/atom
Energy ... -2.880 eV/atom
Raw formation energy ... -273 meV/atom
E above lowest polymorph ... 0 meV/atom

Cell and atoms, written as CIF:
```
data_Tl5HgSe4
_cell_length_a 9.166
_cell_length_b 9.755
_cell_length_c 8.151
_cell_angle_alpha 90.00
_cell_angle_beta 90.00
_cell_angle_gamma 90.00
_symmetry_space_group_name_H-M 'P m m n'
_symmetry_Int_Tables_number 59
loop_
_symmetry_equiv_pos_as_xyz
'x,y,z'
'-x,-y,-z'
'-x+1/2,-y+1/2,z'
'x+1/2,y+1/2,-z'
'x+1/2,-y,-z'
'-x+1/2,y,z'
'-x,y+1/2,-z'
'x,-y+1/2,z'
loop_
_atom_site_label
_atom_site_type_symbol
_atom_site_fract_x
_atom_site_fract_y
_atom_site_fract_z
_atom_site_occupancy
Tl1 Tl 0.007 0.060 0.244 1
Tl2 Tl 0.250 0.250 0.651 1
Hg1 Hg 0.250 0.750 0.293 1
Se1 Se 0.002 0.250 0.877 1
Se2 Se 0.250 0.524 0.504 1
```


Entry 5:
An optimized crystal structure of K3Au2Br8, computed with PBE.

Computed properties:
Volume ... 35.05 A^3/atom
Energy ... -2.514 eV/atom
Raw formation energy ... -727 meV/atom

Cell and atoms, written as CIF:
```
data_K3Au2Br8
_cell_length_a 7.1913
_cell_length_b 7.1913
_cell_length_c 30.5257
_cell_angle_alpha 90.00
_cell_angle_beta 90.00
_cell_angle_gamma 120.00
_symmetry_space_group_name_H-M 'R -3 m'
_symmetry_Int_Tables_number 166
_symmetry_space_group_name_Hall '-R 3 2"'
loop_
_atom_site_label
_atom_site_type_symbol
_atom_site_fract_x
_atom_site_fract_y
_atom_site_fract_z
_atom_site_occupancy
K1 K 0.0000 0.0000 0.0000 1
K2 K 0.0000 0.0000 0.2058 1
Au1 Au 0.0000 0.0000 0.3945 1
Br1 Br 0.0000 0.0000 0.3122 1
Br2 Br 0.0248 0.5124 0.7712 1
```


Entry 6:
An optimized crystal structure of MgHg2Te, computed with PBE.

Computed properties:
Volume ... 28.52 A^3/atom
Energy ... -1.594 eV/atom
Raw formation energy ... -259 meV/atom
E above lowest polymorph ... 22 meV/atom

Cell and atoms, written as CIF:
```
data_MgHg2Te
_cell_length_a 4.142
_cell_length_b 4.053
_cell_length_c 6.938
_cell_angle_alpha 90.00
_cell_angle_beta 101.64
_cell_angle_gamma 90.00
_symmetry_space_group_name_H-M 'P 1 m 1'
_symmetry_Int_Tables_number 6
_symmetry_space_group_name_Hall 'P -2y'
loop_
_atom_site_label
_atom_site_type_symbol
_atom_site_fract_x
_atom_site_fract_y
_atom_site_fract_z
_atom_site_occupancy
Mg1 Mg 0.000 0.000 0.000 1
Hg1 Hg 0.132 0.500 0.372 1
Hg2 Hg 0.685 0.000 0.539 1
Te1 Te 0.478 0.500 0.935 1
```


Entry 7:
An optimized crystal structure of SrGeAu2, computed with PBE.

Computed properties:
Volume ... 24.62 A^3/atom
Formation enthalpy at 0 K ... -0.4874 eV per atom
Energy ... -3.701 eV/atom

Cell and atoms, written as CIF:
```
data_SrGeAu2
_cell_length_a 4.6118
_cell_length_b 4.6118
_cell_length_c 16.0396
_cell_angle_alpha 90.00
_cell_angle_beta 90.00
_cell_angle_gamma 120.00
_symmetry_space_group_name_H-M 'R -3 m'
_symmetry_Int_Tables_number 166
_symmetry_space_group_name_Hall '-R 3 2"'
loop_
_atom_site_label
_atom_site_type_symbol
_atom_site_fract_x
_atom_site_fract_y
_atom_site_fract_z
_atom_site_occupancy
Sr1 Sr 0.0000 0.0000 0.0000 1
Ge1 Ge 0.0000 0.0000 0.5000 1
Au1 Au 0.0000 0.0000 0.2106 1
```


Entry 8:
An optimized crystal structure of LiAcCu2P2, computed with PBE.

Computed properties:
Volume ... 17.20 A^3/atom
Formation enthalpy at 0 K ... -0.7562 eV per atom
Energy ... -4.929 eV/atom

Cell and atoms, written as CIF:
```
data_LiAcCu2P2
_cell_length_a 4.1126
_cell_length_b 4.1126
_cell_length_c 7.0471
_cell_angle_alpha 90.00
_cell_angle_beta 90.00
_cell_angle_gamma 120.00
_symmetry_space_group_name_H-M 'P -3 m 1'
_symmetry_Int_Tables_number 164
_symmetry_space_group_name_Hall '-P 3 2"'
loop_
_atom_site_label
_atom_site_type_symbol
_atom_site_fract_x
_atom_site_fract_y
_atom_site_fract_z
_atom_site_occupancy
Li1 Li 0.0000 0.0000 0.0000 1
Ac1 Ac 0.0000 0.0000 0.5000 1
Cu1 Cu 0.3333 0.6667 0.1498 1
P1 P 0.3333 0.6667 0.7828 1
```


Entry 9:
An optimized crystal structure of Pm4ScTl, computed with PBE.

Computed properties:
Volume ... 31.90 A^3/atom
Formation enthalpy at 0 K ... 0.0126 eV per atom
Energy ... -4.604 eV/atom
E above lowest polymorph ... 0 meV/atom

Cell and atoms, written as CIF:
```
data_Pm4ScTl
_cell_length_a 8.847
_cell_length_b 14.196
_cell_length_c 6.474
_cell_angle_alpha 90.00
_cell_angle_beta 109.67
_cell_angle_gamma 90.00
_symmetry_space_group_name_H-M 'C 1 2/c 1'
_symmetry_Int_Tables_number 15
_symmetry_space_group_name_Hall '-C 2yc'
loop_
_atom_site_label
_atom_site_type_symbol
_atom_site_fract_x
_atom_site_fract_y
_atom_site_fract_z
_atom_site_occupancy
Pm1 Pm 0.098 0.192 0.048 1
Pm2 Pm 0.206 0.389 0.378 1
Sc1 Sc 0.000 0.405 0.750 1
Tl1 Tl 0.000 0.002 0.750 1
```


Entry 10:
An optimized crystal structure of LiAlCo2, computed with PBE.

Computed properties:
Volume ... 11.80 A^3/atom
Formation enthalpy at 0 K ... -0.0691 eV per atom
Energy ... -5.036 eV/atom

Cell and atoms, written as CIF:
```
data_LiAlCo2
_cell_length_a 2.613
_cell_length_b 4.133
_cell_length_c 4.369
_cell_angle_alpha 90.00
_cell_angle_beta 90.00
_cell_angle_gamma 90.00
_symmetry_space_group_name_H-M 'P m m 2'
_symmetry_Int_Tables_number 25
_symmetry_space_group_name_Hall 'P 2 -2'
loop_
_atom_site_label
_atom_site_type_symbol
_atom_site_fract_x
_atom_site_fract_y
_atom_site_fract_z
_atom_site_occupancy
Li1 Li 0.000 0.000 0.000 1
Al1 Al 0.000 0.500 0.659 1
Co1 Co 0.500 0.000 0.482 1
Co2 Co 0.500 0.500 0.169 1
```


Entry 11:
An optimized crystal structure of Mg12H5Au3, computed with PBE.

Computed properties:
Volume ... 16.89 A^3/atom
Energy ... -2.465 eV/atom

Cell and atoms, written as CIF:
```
data_Mg12H5Au3
_cell_length_a 13.928
_cell_length_b 13.928
_cell_length_c 13.928
_cell_angle_alpha 90.00
_cell_angle_beta 90.00
_cell_angle_gamma 90.00
_symmetry_space_group_name_H-M 'I a -3 d'
_symmetry_Int_Tables_number 230
_symmetry_space_group_name_Hall '-I 4bd 2c 3'
loop_
_atom_site_label
_atom_site_type_symbol
_atom_site_fract_x
_atom_site_fract_y
_atom_site_fract_z
_atom_site_occupancy
Mg1 Mg 0.036 0.057 0.652 1
H1 H 0.000 0.000 0.000 1
H2 H 0.000 0.250 0.375 1
Au1 Au 0.000 0.250 0.125 1
```


Entry 12:
An optimized crystal structure of Ta2HgPb, computed with PBE.

Computed properties:
Volume ... 20.23 A^3/atom
Formation enthalpy at 0 K ... 0.7078 eV per atom
Energy ... -6.221 eV/atom
E above lowest polymorph ... 385 meV/atom

Cell and atoms, written as CIF:
```
data_Ta2HgPb
_cell_length_a 5.118
_cell_length_b 5.118
_cell_length_c 3.089
_cell_angle_alpha 90.00
_cell_angle_beta 90.00
_cell_angle_gamma 90.00
_symmetry_space_group_name_H-M 'P 4/m m m'
_symmetry_Int_Tables_number 123
_symmetry_space_group_name_Hall '-P 4 2'
loop_
_atom_site_label
_atom_site_type_symbol
_atom_site_fract_x
_atom_site_fract_y
_atom_site_fract_z
_atom_site_occupancy
Ta1 Ta 0.000 0.500 0.000 1
Hg1 Hg 0.000 0.000 0.500 1
Pb1 Pb 0.500 0.500 0.500 1
```


Entry 13:
An optimized crystal structure of HoTm2Sc, computed with PBE.

Computed properties:
Volume ... 28.83 A^3/atom
Formation enthalpy at 0 K ... 0.0454 eV per atom
Energy ... -4.918 eV/atom
E above lowest polymorph ... 21 meV/atom

Cell and atoms, written as CIF:
```
data_HoTm2Sc
_cell_length_a 3.4523
_cell_length_b 3.4523
_cell_length_c 33.5194
_cell_angle_alpha 90.00
_cell_angle_beta 90.00
_cell_angle_gamma 120.00
_symmetry_space_group_name_H-M 'R -3 m'
_symmetry_Int_Tables_number 166
_symmetry_space_group_name_Hall '-R 3 2"'
loop_
_atom_site_label
_atom_site_type_symbol
_atom_site_fract_x
_atom_site_fract_y
_atom_site_fract_z
_atom_site_occupancy
Ho1 Ho 0.0000 0.0000 0.0000 1
Tm1 Tm 0.0000 0.0000 0.2472 1
Sc1 Sc 0.0000 0.0000 0.5000 1
```


Entry 14:
An optimized crystal structure of ReBr5, computed with PBE.

Computed properties:
Volume ... 31.65 A^3/atom
Energy ... -3.055 eV/atom
Raw formation energy ... 414 meV/atom
E above lowest polymorph ... 471 meV/atom

Cell and atoms, written as CIF:
```
data_ReBr5
_cell_length_a 7.362
_cell_length_b 3.667
_cell_length_c 14.071
_cell_angle_alpha 90.00
_cell_angle_beta 90.00
_cell_angle_gamma 90.00
_symmetry_space_group_name_H-M 'A m m 2'
_symmetry_Int_Tables_number 38
_symmetry_space_group_name_Hall 'A 2 -2'
loop_
_atom_site_label
_atom_site_type_symbol
_atom_site_fract_x
_atom_site_fract_y
_atom_site_fract_z
_atom_site_occupancy
Re1 Re 0.000 0.000 0.000 1
Br1 Br 0.000 0.000 0.376 1
Br2 Br 0.000 0.000 0.624 1
Br3 Br 0.500 0.000 0.005 1
Br4 Br 0.500 0.000 0.335 1
Br5 Br 0.500 0.000 0.674 1
```


Entry 15:
An optimized crystal structure of Ce3PSe3, computed with PBE.

Computed properties:
Volume ... 28.66 A^3/atom
Energy ... -6.214 eV/atom
Raw formation energy ... -1404 meV/atom

Cell and atoms, written as CIF:
```
data_Ce3PSe3
_cell_length_a 8.507
_cell_length_b 12.476
_cell_length_c 7.562
_cell_angle_alpha 90.00
_cell_angle_beta 90.93
_cell_angle_gamma 90.00
_symmetry_space_group_name_H-M 'C 1 2/m 1'
_symmetry_Int_Tables_number 12
_symmetry_space_group_name_Hall '-C 2y'
loop_
_atom_site_label
_atom_site_type_symbol
_atom_site_fract_x
_atom_site_fract_y
_atom_site_fract_z
_atom_site_occupancy
Ce1 Ce 0.064 0.000 0.215 1
Ce2 Ce 0.144 0.343 0.293 1
P1 P 0.249 0.500 0.088 1
Se1 Se 0.000 0.164 0.500 1
Se2 Se 0.000 0.217 0.000 1
Se3 Se 0.129 0.500 0.639 1
```


Entry 16:
An optimized crystal structure of BeRh5, computed with PBE.

Computed properties:
Volume ... 13.50 A^3/atom
Formation enthalpy at 0 K ... -0.0349 eV per atom
Energy ... -6.782 eV/atom
E above lowest polymorph ... 142 meV/atom

Cell and atoms, written as CIF:
```
data_BeRh5
_cell_length_a 4.6633
_cell_length_b 4.6633
_cell_length_c 4.3019
_cell_angle_alpha 90.00
_cell_angle_beta 90.00
_cell_angle_gamma 120.00
_symmetry_space_group_name_H-M 'P -6 2 m'
_symmetry_Int_Tables_number 189
_symmetry_space_group_name_Hall 'P -6 -2'
loop_
_atom_site_label
_atom_site_type_symbol
_atom_site_fract_x
_atom_site_fract_y
_atom_site_fract_z
_atom_site_occupancy
Be1 Be 0.0000 0.0000 0.0000 1
Rh1 Rh 0.0000 0.6754 0.5000 1
Rh2 Rh 0.3333 0.6667 0.0000 1
```


Entry 17:
An optimized crystal structure of GeSbPb2Au4, computed with PBE.

Computed properties:
Volume ... 24.21 A^3/atom
Energy ... -3.680 eV/atom
Raw formation energy ... -22 meV/atom

Cell and atoms, written as CIF:
```
data_GeSbPb2Au4
_cell_length_a 6.491
_cell_length_b 4.312
_cell_length_c 7.508
_cell_angle_alpha 90.00
_cell_angle_beta 112.83
_cell_angle_gamma 90.00
_symmetry_space_group_name_H-M 'P 1 2/m 1'
_symmetry_Int_Tables_number 10
_symmetry_space_group_name_Hall '-P 2y'
loop_
_atom_site_label
_atom_site_type_symbol
_atom_site_fract_x
_atom_site_fract_y
_atom_site_fract_z
_atom_site_occupancy
Ge1 Ge 0.000 0.000 0.000 1
Sb1 Sb 0.000 0.500 0.500 1
Pb1 Pb 0.500 0.000 0.500 1
Pb2 Pb 0.500 0.500 0.000 1
Au1 Au 0.197 0.500 0.221 1
Au2 Au 0.206 0.000 0.749 1
```


Entry 18:
An optimized crystal structure of Sr3ZrAl, computed with PBE.

Computed properties:
Volume ... 46.03 A^3/atom
Formation enthalpy at 0 K ... 0.7293 eV per atom
Energy ... -2.738 eV/atom
E above lowest polymorph ... 0 meV/atom

Cell and atoms, written as CIF:
```
data_Sr3ZrAl
_cell_length_a 6.128
_cell_length_b 6.128
_cell_length_c 6.128
_cell_angle_alpha 90.00
_cell_angle_beta 90.00
_cell_angle_gamma 90.00
_symmetry_space_group_name_H-M 'P m -3 m'
_symmetry_Int_Tables_number 221
_symmetry_space_group_name_Hall '-P 4 2 3'
loop_
_atom_site_label
_atom_site_type_symbol
_atom_site_fract_x
_atom_site_fract_y
_atom_site_fract_z
_atom_site_occupancy
Sr1 Sr 0.000 0.000 0.500 1
Zr1 Zr 0.500 0.500 0.500 1
Al1 Al 0.000 0.000 0.000 1
```


Entry 19:
An optimized crystal structure of Pm4Dy5Th2, computed with PBE.

Computed properties:
Volume ... 32.70 A^3/atom
Formation enthalpy at 0 K ... 0.0255 eV per atom
Energy ... -5.143 eV/atom
E above lowest polymorph ... 0 meV/atom

Cell and atoms, written as CIF:
```
data_Pm4Dy5Th2
_cell_length_a 3.594
_cell_length_b 9.493
_cell_length_c 10.755
_cell_angle_alpha 93.74
_cell_angle_beta 90.00
_cell_angle_gamma 100.76
_symmetry_space_group_name_H-M 'P -1'
_symmetry_Int_Tables_number 2
_symmetry_space_group_name_Hall '-P 1'
loop_
_atom_site_label
_atom_site_type_symbol
_atom_site_fract_x
_atom_site_fract_y
_atom_site_fract_z
_atom_site_occupancy
Pm1 Pm 0.089 0.178 0.455 1
Pm2 Pm 0.361 0.722 0.824 1
Dy1 Dy 0.000 0.000 0.000 1
Dy2 Dy 0.273 0.548 0.362 1
Dy3 Dy 0.452 0.905 0.269 1
Th1 Th 0.183 0.366 0.907 1
```


Entry 20:
An optimized crystal structure of Ca3HfRh, computed with PBE.

Computed properties:
Volume ... 37.59 A^3/atom
Formation enthalpy at 0 K ... 1.4854 eV per atom
Energy ... -3.176 eV/atom
E above lowest polymorph ... 1085 meV/atom

Cell and atoms, written as CIF:
```
data_Ca3HfRh
_cell_length_a 5.728
_cell_length_b 5.728
_cell_length_c 5.728
_cell_angle_alpha 90.00
_cell_angle_beta 90.00
_cell_angle_gamma 90.00
_symmetry_space_group_name_H-M 'P m -3 m'
_symmetry_Int_Tables_number 221
_symmetry_space_group_name_Hall '-P 4 2 3'
loop_
_atom_site_label
_atom_site_type_symbol
_atom_site_fract_x
_atom_site_fract_y
_atom_site_fract_z
_atom_site_occupancy
Ca1 Ca 0.000 0.000 0.500 1
Hf1 Hf 0.000 0.000 0.000 1
Rh1 Rh 0.500 0.500 0.500 1
```